Record 1
## Rh2W (PBE)

Data for a relaxed Rh2W crystal.

## Properties
DFT formation energy: -0.140 eV per atom
DOS(E_F): 5.2 states/eV per cell

abc: 5.2364 5.2364 6.5263
angles: 76.32 76.32 30.66
Fractional coordinates of all 6 atoms:
W1 0.9491 0.9491 0.6045
W2 0.2745 0.2745 0.9512
Rh1 0.6707 0.6707 0.6700
Rh2 0.6118 0.6118 0.2735
Rh3 0.9938 0.9938 0.9965
Rh4 0.3334 0.3334 0.3377



Record 2
## CaTc2Mo (PBE)

Data for a relaxed CaTc2Mo crystal.

## Properties
DFT formation energy: 1.130 eV per atom
DOS(E_F): 9.8 states/eV per cell

abc: 4.4315 4.4315 9.4438
angles: 76.43 76.43 90.00
Fractional coordinates of all 8 atoms:
Tc1 0.3750 0.2477 0.7500
Tc2 0.9977 0.6250 0.2500
Tc3 0.7523 0.1250 0.2500
Tc4 0.8750 0.0023 0.7500
Mo1 0.0000 0.0000 0.0000
Mo2 0.7500 0.2500 0.5000
Ca1 0.5000 0.5000 0.0000
Ca2 0.2500 0.7500 0.5000



Record 3
## SrZn3Ag9 (PBE)

Data for a relaxed SrZn3Ag9 crystal.

## Properties
DFT formation energy: -0.116 eV per atom
DOS(E_F): 4.5 states/eV per cell

abc: 5.3647 7.1063 7.3169
angles: 83.08 68.49 70.82
Fractional coordinates of all 13 atoms:
Ag1 0.2947 0.2196 0.2236
Ag2 0.0272 0.3455 0.6412
Ag3 0.4817 0.7804 0.2236
Ag4 0.9728 0.6545 0.3588
Ag5 0.7053 0.7804 0.7764
Ag6 0.5183 0.2196 0.7764
Ag7 0.3316 0.6545 0.6412
Ag8 0.0000 0.5000 0.0000
Ag9 0.6684 0.3455 0.3588
Sr1 0.0000 0.0000 0.0000
Zn1 0.5000 0.0000 0.5000
Zn2 0.0000 0.0000 0.5000
Zn3 0.5000 0.5000 0.0000



Record 4
## CrIr2Pb (PBE)

Data for a relaxed CrIr2Pb crystal.

## Properties
DFT formation energy: 0.481 eV per atom
DOS(E_F): 4.0 states/eV per cell

abc: 2.9493 2.9493 7.6043
angles: 90.00 90.00 90.00
Fractional coordinates of all 4 atoms:
Ir1 0.5000 0.5000 0.2303
Ir2 0.0000 0.0000 0.9809
Cr1 0.5000 0.5000 0.7871
Pb1 0.0000 0.0000 0.5017



Record 5
## In2CuIr2Se6 (PBE)

Data for a relaxed In2CuIr2Se6 crystal.

## Properties
E_form (uncorrected): -0.2590 eV/atom
DOS(E_F): 4.0 states/eV per cell

abc: 6.6526 6.6526 6.9991
angles: 99.12 99.12 120.61
Fractional coordinates of all 11 atoms:
In1 0.8358 0.1642 0.0000
In2 0.1642 0.8358 0.0000
Se1 0.5774 0.9357 0.2974
Se2 0.2620 0.2620 0.3205
Se3 0.9357 0.5774 0.2974
Se4 0.0643 0.4226 0.7026
Se5 0.7380 0.7380 0.6795
Se6 0.4226 0.0643 0.7026
Ir1 0.3315 0.6685 0.5000
Ir2 0.6685 0.3315 0.5000
Cu1 0.0000 0.0000 0.5000



Record 6
## Pm2AsOs (PBE)

Data for a relaxed Pm2AsOs crystal.

## Properties
DFT formation energy: -0.448 eV per atom
DOS(E_F): 3.2 states/eV per cell

abc: 3.6287 3.6287 6.9851
angles: 90.00 90.00 90.00
Fractional coordinates of all 4 atoms:
Pm1 0.0000 0.0000 0.2441
Pm2 0.0000 0.0000 0.7559
Os1 0.5000 0.5000 0.0000
As1 0.5000 0.5000 0.5000



Record 7
## Rb3Na3HgI8 (PBE)

Data for a relaxed Rb3Na3HgI8 crystal.

## Properties
E_form (uncorrected): -1.1279 eV/atom

abc: 9.5423 9.5490 10.0872
angles: 118.28 90.00 119.98
Fractional coordinates of all 15 atoms:
Hg1 0.0000 0.0000 0.5000
I1 0.2618 0.5236 0.2857
I2 0.7751 0.5502 0.2980
I3 0.2249 0.4498 0.7020
I4 0.7382 0.4764 0.7143
I5 0.7519 0.9772 0.7023
I6 0.2253 0.9772 0.7023
I7 0.7747 0.0228 0.2977
I8 0.2481 0.0228 0.2977
Rb1 0.5000 0.5000 0.0000
Rb2 0.0000 0.0000 0.0000
Rb3 0.0000 0.5000 0.0000
Na1 0.5000 0.0000 0.5000
Na2 0.5000 0.5000 0.5000
Na3 0.0000 0.5000 0.5000



Record 8
## Pm3Pr12Ag (PBE)

Data for a relaxed Pm3Pr12Ag crystal.

## Properties
DFT formation energy: 0.018 eV per atom
DOS(E_F): 22.0 states/eV per cell

abc: 5.1628 5.1628 20.7344
angles: 90.00 90.00 90.00
Fractional coordinates of all 16 atoms:
Pr1 0.0000 0.5000 0.1190
Pr2 0.5000 0.0000 0.8810
Pr3 0.5000 0.0000 0.1190
Pr4 0.0000 0.5000 0.3725
Pr5 0.5000 0.5000 0.0000
Pr6 0.5000 0.0000 0.6275
Pr7 0.5000 0.0000 0.3725
Pr8 0.5000 0.5000 0.7578
Pr9 0.5000 0.5000 0.2422
Pr10 0.5000 0.5000 0.5000
Pr11 0.0000 0.5000 0.6275
Pr12 0.0000 0.5000 0.8810
Pm1 0.0000 0.0000 0.7550
Pm2 0.0000 0.0000 0.2450
Pm3 0.0000 0.0000 0.5000
Ag1 0.0000 0.0000 0.0000